Entry 1:
4
Lattice="4.719 0.000 0.000 0.000 4.719 0.000 0.000 0.000 4.686" Properties=species:S:1:pos:R:3 comment="TmTl2In | the Alexandria database | PBE-GGA | relaxed" crystal_system=tetragonal formation_enthalpy_0k_ev_per_atom=-0.2316 sg=P4/mmm pbc="T T T"
Tm 0.000 0.000 0.000
Tl 0.000 2.359 2.343
Tl 2.359 0.000 2.343
In 2.359 2.359 0.000

=====

Entry 2:
18
Lattice="9.184 0.000 0.000 -4.592 7.953 0.000 0.000 0.000 6.619" Properties=species:S:1:pos:R:3 comment="Tm5Tl3In | the Alexandria database | PBE-GGA | relaxed" crystal_system=hexagonal formation_enthalpy_0k_ev_per_atom=-0.3318 sg=P6_3/mcm pbc="T T T"
Tm -1.322 2.289 1.655
Tm -3.270 5.664 4.964
Tm 2.644 0.000 1.655
Tm 1.322 2.289 4.964
Tm 0.000 5.302 0.000
Tm 0.000 5.302 3.309
Tm 4.592 2.651 0.000
Tm 4.592 2.651 3.309
Tm 6.540 0.000 4.964
Tm 3.270 5.664 1.655
Tl -1.720 2.979 4.964
Tl -2.872 4.975 1.655
Tl 3.439 0.000 4.964
Tl 1.720 2.979 1.655
Tl 5.744 0.000 1.655
Tl 2.872 4.975 4.964
In 0.000 0.000 0.000
In 0.000 0.000 3.309

=====

Entry 3:
11
Lattice="5.297 -5.662 0.000 5.297 5.662 0.000 -2.531 0.000 5.376" Properties=species:S:1:pos:R:3 comment="Tm7Tl3In | the Alexandria database | PBE-GGA | relaxed" crystal_system=monoclinic formation_enthalpy_0k_ev_per_atom=-0.0566 sg=C2/m pbc="T T T"
Tm 0.000 0.000 0.000
Tm 2.650 2.517 1.618
Tm 1.185 0.000 4.531
Tm 5.413 2.517 3.758
Tm 2.650 -2.517 1.618
Tm 6.878 0.000 0.845
Tm 5.413 -2.517 3.758
Tl 5.297 2.595 0.000
Tl 4.031 0.000 2.688
Tl 5.297 -2.595 0.000
In -1.266 0.000 2.688

=====

Entry 4:
12
Lattice="-2.433 4.432 7.365 2.433 -4.432 7.365 2.433 4.432 -7.365" Properties=species:S:1:pos:R:3 comment="Tm5Tl6In | the Alexandria database | PBE-GGA | relaxed" crystal_system=orthorhombic formation_enthalpy_0k_ev_per_atom=-0.2610 sg=Immm pbc="T T T"
Tm 0.000 0.000 0.000
Tm 2.433 0.000 2.600
Tm 0.000 0.000 5.276
Tm 0.000 0.000 9.453
Tm 0.000 4.432 4.764
Tl 2.433 -2.292 4.846
Tl 2.433 2.037 0.000
Tl 0.000 2.141 2.518
Tl 2.433 2.292 4.846
Tl 0.000 2.395 7.365
Tl 0.000 6.724 2.518
In 0.000 4.432 0.000

=====

Entry 5:
14
Lattice="8.985 0.000 0.000 -4.493 7.781 0.000 0.000 0.000 5.378" Properties=species:S:1:pos:R:3 comment="Tm3Tl3In | the Alexandria database | PBE-GGA | relaxed" crystal_system=hexagonal formation_enthalpy_0k_ev_per_atom=-0.2191 sg=P6_3/m pbc="T T T"
Tm -1.991 5.021 1.345
Tm 1.140 3.547 1.345
Tm 3.641 0.786 4.034
Tm 0.851 6.995 1.345
Tm 3.353 4.235 4.034
Tm 6.483 2.760 4.034
Tl -3.152 6.256 4.034
Tl 0.651 1.923 4.034
Tl 1.991 0.398 1.345
Tl 2.502 7.383 4.034
Tl 3.842 5.858 1.345
Tl 7.645 1.525 1.345
In 0.000 5.188 4.034
In 4.493 2.594 1.345

=====

Entry 6:
16
Lattice="6.700 0.000 0.000 0.000 13.404 0.000 0.000 0.000 4.693" Properties=species:S:1:pos:R:3 comment="Tm2Tl5In | the Alexandria database | PBE-GGA | relaxed" crystal_system=orthorhombic formation_enthalpy_0k_ev_per_atom=-0.1965 sg=Pbam pbc="T T T"
Tm 1.649 1.670 0.000
Tm 1.701 8.373 0.000
Tm 4.999 5.032 0.000
Tm 5.051 11.734 0.000
Tl 0.000 0.000 2.347
Tl 0.039 10.035 2.347
Tl 1.628 5.047 0.000
Tl 1.722 11.749 0.000
Tl 3.311 3.333 2.347
Tl 3.350 6.702 2.347
Tl 3.389 10.071 2.347
Tl 4.978 1.655 0.000
Tl 5.072 8.357 0.000
Tl 6.662 3.369 2.347
In 0.000 6.702 2.347
In 3.350 0.000 2.347

=====

Entry 7:
8
Lattice="7.012 0.000 0.000 0.000 8.368 0.000 0.000 0.000 3.546" Properties=species:S:1:pos:R:3 comment="Tm2TlIn | the Alexandria database | PBE-GGA | relaxed" crystal_system=orthorhombic formation_enthalpy_0k_ev_per_atom=-0.3542 sg=Cmmm pbc="T T T"
Tm 1.753 2.092 0.000
Tm 1.753 6.276 0.000
Tm 5.259 2.092 0.000
Tm 5.259 6.276 0.000
Tl 0.000 0.000 1.773
Tl 3.506 4.184 1.773
In 0.000 4.184 1.773
In 3.506 0.000 1.773

=====

Entry 8:
10
Lattice="7.630 0.000 0.000 0.000 7.630 0.000 0.000 0.000 4.577" Properties=species:S:1:pos:R:3 comment="Tm2TlIn2 | the Alexandria database | PBE-GGA | relaxed" crystal_system=tetragonal formation_enthalpy_0k_ev_per_atom=-0.2780 relative_energy_ev_per_fu=0.23 sg=P4/mbm pbc="T T T"
Tm 1.274 2.541 0.000
Tm 2.541 6.356 0.000
Tm 5.089 1.274 0.000
Tm 6.356 5.089 0.000
Tl 0.000 0.000 2.289
Tl 3.815 3.815 2.289
In 1.016 4.831 2.289
In 2.799 1.016 2.289
In 4.831 6.614 2.289
In 6.614 2.799 2.289

=====

Entry 9:
12
Lattice="4.782 0.000 0.000 0.000 4.782 0.000 0.000 0.000 14.351" Properties=species:S:1:pos:R:3 comment="Tm9TlIn2 | the Alexandria database | PBE-GGA | relaxed" crystal_system=tetragonal formation_enthalpy_0k_ev_per_atom=-0.2252 sg=P4/mmm pbc="T T T"
Tm 0.000 0.000 0.000
Tm 0.000 0.000 4.787
Tm 0.000 0.000 9.563
Tm 0.000 2.391 2.411
Tm 0.000 2.391 7.175
Tm 0.000 2.391 11.940
Tm 2.391 0.000 2.411
Tm 2.391 0.000 7.175
Tm 2.391 0.000 11.940
Tl 2.391 2.391 0.000
In 2.391 2.391 4.787
In 2.391 2.391 9.563

=====

Entry 10:
8
Lattice="4.660 0.000 0.000 0.000 4.680 0.000 0.000 0.000 9.436" Properties=species:S:1:pos:R:3 comment="Tm2Tl3In3 | the Alexandria database | PBE-GGA | relaxed" crystal_system=orthorhombic formation_enthalpy_0k_ev_per_atom=-0.2620 sg=Pmmm pbc="T T T"
Tm 0.000 0.000 2.337
Tm 0.000 0.000 7.099
Tl 2.330 0.000 4.718
Tl 2.330 2.340 2.329
Tl 2.330 2.340 7.107
In 0.000 2.340 0.000
In 0.000 2.340 4.718
In 2.330 0.000 0.000

=====

Entry 11:
14
Lattice="4.637 0.000 0.000 0.000 23.044 0.000 0.000 0.000 3.401" Properties=species:S:1:pos:R:3 comment="Tm3Tl2In2 | the Alexandria database | PBE-GGA | relaxed" crystal_system=orthorhombic formation_enthalpy_0k_ev_per_atom=-0.3098 relative_energy_ev_per_fu=0.00 sg=Cmmm pbc="T T T"
Tm 0.000 0.000 0.000
Tm 0.000 3.544 0.000
Tm 0.000 19.500 0.000
Tm 2.318 7.978 0.000
Tm 2.318 11.522 0.000
Tm 2.318 15.066 0.000
Tl 0.000 9.848 1.701
Tl 0.000 13.196 1.701
Tl 2.318 1.674 1.701
Tl 2.318 21.370 1.701
In 0.000 6.621 1.701
In 0.000 16.423 1.701
In 2.318 4.901 1.701
In 2.318 18.144 1.701

=====

Entry 12:
4
Lattice="3.959 0.000 0.000 0.000 3.959 0.000 0.000 0.000 6.918" Properties=species:S:1:pos:R:3 comment="TmTl2In | the Alexandria database | PBE-GGA | relaxed" crystal_system=tetragonal formation_enthalpy_0k_ev_per_atom=-0.0988 sg=P4/mmm pbc="T T T"
Tm 0.000 0.000 0.000
Tl 1.979 1.979 1.748
Tl 1.979 1.979 5.171
In 0.000 0.000 3.459

=====

Number 5 is which compound? Tm3Tl3In